Record 1
Sc3TaN | PBEsol | relaxed

Lattice parameters (Å, degrees): 4.938 4.938 4.938 90.00 90.00 90.00
Element x y z (fractional)
Sc 0.000 0.500 0.000
Sc 0.000 0.000 0.500
Sc 0.500 0.000 0.000
N 0.500 0.500 0.500
Ta 0.000 0.000 0.000

## Properties
The energy relative to the elements, uncorrected is 1.66 eV/atom. Its total DFT energy (no corrections) is -6.515 eV/atom. As for the density of states at the Fermi level: 0.56 states/eV per atom. The space-group type is Pm-3m (221).

=====

Record 2
TiGa3Cu | PBEsol | relaxed

Lattice parameters (Å, degrees): 4.476 4.476 4.476 90.00 90.00 90.00
Site moments in Bohr magnetons follow the coordinates.
Element x y z (fractional)
Cu 0.000 0.000 0.000  0.00
Ga 0.000 0.500 0.000  0.00
Ga 0.000 0.000 0.500  0.00
Ga 0.500 0.000 0.000  0.00
Ti 0.500 0.500 0.500  0.30

## Properties
Its formation energy is 0.39 eV per atom. Its total DFT energy (no corrections) is -4.146 eV/atom. As for the density of states at the Fermi level: 0.78 states/eV per atom. The space-group type is Pm-3m (221).